[1]
SmThSiS | PBE | optimized geometry

The structure in extended XYZ format:
```
12
Lattice="4.1811 0.0000 0.0000 -2.0905 3.6209 0.0000 0.0000 0.0000 20.0810" Properties=species:S:1:pos:R:3 pbc="T T T"
Sm 0.0000 0.0000 0.0000
Sm 0.0000 2.4139 13.3873
Sm 2.0905 1.2070 6.6937
Th 0.0000 0.0000 10.0139
Th 0.0000 2.4139 3.3202
Th 2.0905 1.2070 16.7075
Si 0.0000 0.0000 15.0498
Si 0.0000 2.4139 8.3562
Si 2.0905 1.2070 1.6625
S 0.0000 0.0000 5.0117
S 0.0000 2.4139 18.3990
S 2.0905 1.2070 11.7053
```

=====

[2]
Pm2BeSiRh6 | PBE | optimized geometry

The structure in extended XYZ format:
```
10
Lattice="-3.1015 3.1114 4.3909 3.1015 -3.1114 4.3909 3.1015 3.1114 -4.3909" Properties=species:S:1:pos:R:3 pbc="T T T"
Pm 0.0000 0.0000 2.1960
Pm 0.0000 0.0000 6.5859
Be 0.0000 3.1114 0.0000
Si 3.1015 0.0000 0.0000
Rh 1.5051 1.6014 0.0000
Rh 1.5965 -1.5100 4.3909
Rh 3.1015 0.0000 2.2606
Rh 0.0000 3.1114 2.1303
Rh 1.5051 4.6215 0.0000
Rh 1.5965 1.5100 4.3909
```

=====

[3]
Sr2Li6Tl9 | PBE | optimized geometry

The structure in extended XYZ format:
```
17
Lattice="6.4755 0.0000 0.0000 -3.2377 5.6079 0.0000 0.0000 0.0000 13.3575" Properties=species:S:1:pos:R:3 pbc="T T T"
Sr 0.0000 0.0000 2.3156
Sr 0.0000 0.0000 11.0419
Li 0.0000 3.7386 2.2110
Li 0.0000 3.7386 6.6788
Li 0.0000 3.7386 11.1465
Li 3.2377 1.8693 2.2110
Li 3.2377 1.8693 6.6788
Li 3.2377 1.8693 11.1465
Tl -1.6189 2.8040 0.0000
Tl -1.6189 2.8040 4.4474
Tl -1.6189 2.8040 8.9101
Tl 3.2377 0.0000 0.0000
Tl 3.2377 0.0000 4.4474
Tl 3.2377 0.0000 8.9101
Tl 1.6189 2.8040 0.0000
Tl 1.6189 2.8040 4.4474
Tl 1.6189 2.8040 8.9101
```

Summary:
The value obtained for the formation energy is -2.1 eV/f.u.

=====

Number 1: E -6.75 eV/atom, spin magnetization 0.0 μB/f.u.. Number 2: E -6.90 eV/atom, spin magnetization 0.0 μB/f.u.. Number 3: E -2.25 eV/atom, spin magnetization 0.0 μB/f.u..